Computed, not measured: a relaxed structure of GePd2Pb at the PBE level of DFT.

Cell: 3.7543 6.7950 6.1526 Å, 90.00 90.00 90.00°
Positions (direct):
Ge 0.0000 0.1364 0.2025
Ge 0.0000 0.8636 0.7025
Pb 0.5000 0.6610 0.3222
Pb 0.5000 0.3390 0.8222
Pd 0.0000 0.3984 0.4793
Pd 0.5000 0.0500 0.4960
Pd 0.0000 0.6016 0.9793
Pd 0.5000 0.9500 0.9960

## Properties
**Total energy**: -4.969 eV/atom

---

Computed, not measured: a relaxed structure of GePdPb at the PBE level of DFT.

Cell: 4.6902 4.6902 4.6902 Å, 60.00 60.00 60.00°
Positions (direct):
Ge 0.2500 0.2500 0.2500
Pb 0.0000 0.0000 0.0000
Pd 0.7500 0.7500 0.7500

## Properties
**Total energy**: -4.227 eV/atom

---

Q: Among the records above, which one has the lowest total energy?
A: GePd2Pb

---

Q: Look up the total energy of the second one.
A: -4.227 eV/atom

---

Q: total energy of number 2 (GePdPb)?
A: -4.227 eV/atom

---

Q: Which of these has the lowest total energy?
A: GePd2Pb